(1)
LaPOsO after structural relaxation, computed with GGA-PBE.

Summary:
Crystal system: orthorhombic
ΔE to the lowest computed polymorph in meV/atom: 635
E in eV for the cell shown: -63.338
Space-group type: Pmc2_1 (26)

Cell lengths 4.3401, 4.1994, 7.2372 Å; angles 90.00, 90.00, 90.00 degrees
Closest atoms and distances in Å follow each position.
Atoms (fractional coordinates):
P 0.5000 0.2494 0.7732  3 Os 2.41-2.42
P 0.5000 0.7506 0.2732  3 Os 2.41-2.42
O 0.0000 0.7482 0.9367  2 Os 2.17, 3 La 2.41-2.42
La 0.0000 0.7517 0.6041  3 O 2.41-2.42
Os 0.5000 0.7490 0.9400  2 O 2.17, 3 P 2.41-2.42
O 0.0000 0.2518 0.4367  2 Os 2.17, 3 La 2.41-2.42
La 0.0000 0.2483 0.1041  3 O 2.41-2.42
Os 0.5000 0.2510 0.4400  2 O 2.17, 3 P 2.41-2.42

=====

(2)
La2P2OsPdO2 after structural relaxation, computed with GGA-PBE.

Summary:
Crystal system: tetragonal
E in eV for the cell shown: -62.236
Space-group type: P-4m2 (115)

Cell lengths 4.0560, 4.0560, 8.5468 Å; angles 90.00, 90.00, 90.00 degrees
Closest atoms and distances in Å follow each position.
Atoms (fractional coordinates):
La 0.0000 0.5000 0.6435  4 O 2.37
P 0.0000 0.5000 0.1477  2 Os 2.39, 2 Pd 2.39
P 0.5000 0.0000 0.8523  2 Os 2.39, 2 Pd 2.39
La 0.5000 0.0000 0.3565  4 O 2.37
Pd 0.5000 0.5000 0.0000  4 P 2.39
O 0.5000 0.5000 0.5000  4 La 2.37
O 0.0000 0.0000 0.5000  4 La 2.37
Os 0.0000 0.0000 0.0000  4 P 2.39

=====

(3)
LaPrP2Os2O2 after structural relaxation, computed with GGA-PBE.

Summary:
Crystal system: tetragonal
E in eV for the cell shown: -67.818
Space-group type: P4mm (99)

Cell lengths 4.0618, 4.0618, 8.3738 Å; angles 90.00, 90.00, 90.00 degrees
Closest atoms and distances in Å follow each position.
Atoms (fractional coordinates):
La 0.0000 0.0000 0.1432  4 O 2.37
Pr 0.5000 0.5000 0.8542  4 O 2.36
P 0.5000 0.5000 0.3582  4 Os 2.36
Os 0.0000 0.5000 0.5018  4 P 2.35-2.36
Os 0.5000 0.0000 0.5018  4 P 2.35-2.36
P 0.0000 0.0000 0.6442  4 Os 2.35
O 0.0000 0.5000 0.9983  2 Pr 2.36, 2 La 2.37
O 0.5000 0.0000 0.9983  2 Pr 2.36, 2 La 2.37

=====

(4)
La2P2OsPtO2 after structural relaxation, computed with GGA-PBE.

Summary:
Crystal system: tetragonal
E in eV for the cell shown: -63.238
Space-group type: P-4m2 (115)

Cell lengths 4.0271, 4.0271, 8.6172 Å; angles 90.00, 90.00, 90.00 degrees
Closest atoms and distances in Å follow each position.
Atoms (fractional coordinates):
La 0.5000 0.0000 0.8560  4 O 2.37
O 0.0000 0.0000 0.0000  4 La 2.37
P 0.5000 0.0000 0.3480  2 Os 2.40, 2 Pt 2.40
O 0.5000 0.5000 0.0000  4 La 2.37
Pt 0.0000 0.0000 0.5000  4 P 2.40
P 0.0000 0.5000 0.6520  2 Os 2.40, 2 Pt 2.40
Os 0.5000 0.5000 0.5000  4 P 2.40
La 0.0000 0.5000 0.1440  4 O 2.37

=====

(5)
LaSmP2Os2O2 after structural relaxation, computed with GGA-PBE.

Summary:
Crystal system: tetragonal
E in eV for the cell shown: -67.905
Space-group type: P4mm (99)

Cell lengths 4.0464, 4.0464, 8.2762 Å; angles 90.00, 90.00, 90.00 degrees
Closest atoms and distances in Å follow each position.
Atoms (fractional coordinates):
P 0.0000 0.0000 0.6483  4 Os 2.35
O 0.5000 0.0000 0.9934  2 Sm 2.32, 2 La 2.37
P 0.5000 0.5000 0.3571  4 Os 2.36
La 0.0000 0.0000 0.1425  4 O 2.37
O 0.0000 0.5000 0.9934  2 Sm 2.32, 2 La 2.37
Os 0.5000 0.0000 0.5039  4 P 2.35-2.36
Sm 0.5000 0.5000 0.8574  4 O 2.32
Os 0.0000 0.5000 0.5039  4 P 2.35-2.36

=====

(6)
LaPrSb2Os2O2 after structural relaxation, computed with GGA-PBE.

Summary:
Crystal system: tetragonal
E in eV for the cell shown: -62.023
Space-group type: P4mm (99)

Cell lengths 4.2608, 4.2608, 8.7391 Å; angles 90.00, 90.00, 90.00 degrees
Closest atoms and distances in Å follow each position.
Atoms (fractional coordinates):
Sb 0.0000 0.0000 0.6747  4 Os 2.61
Pr 0.5000 0.5000 0.8692  4 O 2.41
Sb 0.5000 0.5000 0.3288  4 Os 2.61
La 0.0000 0.0000 0.1259  4 O 2.40
Os 0.0000 0.5000 0.5022  4 Sb 2.61
O 0.0000 0.5000 0.9985  2 La 2.40, 2 Pr 2.41
O 0.5000 0.0000 0.9985  2 La 2.40, 2 Pr 2.41
Os 0.5000 0.0000 0.5022  4 Sb 2.61

=====

(7)
LaZn3Os4O12 after structural relaxation, computed with GGA-PBE.

Summary:
Crystal system: cubic
E in eV for the cell shown: -136.490
Space-group type: Im-3 (204)

Cell lengths 6.5743, 6.5743, 6.5743 Å; angles 109.47, 109.47, 109.47 degrees
Closest atoms and distances in Å follow each position.
Atoms (fractional coordinates):
O 0.3048 0.1797 0.4845  1 Zn 2.01, 2 Os 2.01
O 0.1250 0.3048 0.8203  1 Zn 2.01, 2 Os 2.01
Os 0.5000 0.5000 0.5000  6 O 2.01
Zn 0.5000 0.0000 0.5000  4 O 2.01
O 0.8203 0.5155 0.6952  1 Zn 2.01, 2 Os 2.01
La 0.0000 0.0000 0.0000  12 O 2.69
Os 0.0000 0.0000 0.5000  6 O 2.01
O 0.5155 0.6952 0.8203  1 Zn 2.01, 2 Os 2.01
Os 0.5000 0.0000 0.0000  6 O 2.01
O 0.1797 0.8750 0.6952  1 Zn 2.01, 2 Os 2.01
Zn 0.0000 0.5000 0.5000  4 O 2.01
O 0.8750 0.6952 0.1797  1 Zn 2.01, 2 Os 2.01
Os 0.0000 0.5000 0.0000  6 O 2.01
O 0.6952 0.1797 0.8750  1 Zn 2.01, 2 Os 2.01
O 0.6952 0.8203 0.5155  1 Zn 2.01, 2 Os 2.01
O 0.1797 0.4845 0.3048  1 Zn 2.01, 2 Os 2.01
O 0.3048 0.8203 0.1250  1 Zn 2.01, 2 Os 2.01
O 0.8203 0.1250 0.3048  1 Zn 2.01, 2 Os 2.01
O 0.4845 0.3048 0.1797  1 Zn 2.01, 2 Os 2.01
Zn 0.5000 0.5000 0.0000  4 O 2.01

=====

(8)
LaPaPO after structural relaxation, computed with GGA-PBE.

Summary:
Crystal system: orthorhombic
ΔE to the lowest computed polymorph in meV/atom: 13
E in eV for the cell shown: -60.558
Space-group type: Pmc2_1 (26)

Cell lengths 4.3158, 7.9073, 5.6675 Å; angles 90.00, 90.00, 90.00 degrees
Closest atoms and distances in Å follow each position.
Atoms (fractional coordinates):
O 0.0000 0.6871 0.9425  2 Pa 2.33, 1 La 2.47
P 0.5000 0.1468 0.9372  3 Pa 2.75-2.87, 2 La 2.81
O 0.0000 0.3129 0.4425  2 Pa 2.33, 1 La 2.47
P 0.5000 0.8532 0.4372  3 Pa 2.75-2.87, 2 La 2.81
La 0.0000 0.6252 0.4371  1 O 2.47
Pa 0.5000 0.7990 0.9373  2 O 2.33
Pa 0.5000 0.2010 0.4373  2 O 2.33
La 0.0000 0.3748 0.9371  1 O 2.47